Model 1:
The following is a PBE-GGA calculation of a relaxed BaCa2Lu crystal, from the Alexandria database.

Cell: 4.1457 4.1457 9.8223 Å, 90.00 90.00 90.00°
With the nearest neighbours (Å) after each atom.
Element x y z (fractional)
1 Ba 0.0000 0.0000 0.0000  8 Ca 4.11, 4 Ba 4.15
2 Ca 0.5000 0.5000 0.2929  4 Lu 3.57
3 Ca 0.5000 0.5000 0.7071  4 Lu 3.57
4 Lu 0.0000 0.0000 0.5000  8 Ca 3.57

- SG = P4/mmm, No. 123
- N(E_F) (states/eV/f.u.) = 5.15

=====

Model 2:
The following is a PBE-GGA calculation of a relaxed BaCa2Lu crystal, from the Alexandria database.

Cell: 6.1304 6.1304 4.3795 Å, 90.00 90.00 90.00°
With the nearest neighbours (Å) after each atom.
Element x y z (fractional)
1 Ba 0.0000 0.0000 0.0000  8 Ca 3.77
2 Ca 0.0000 0.5000 0.5000  4 Ba 3.77, 4 Lu 3.77
3 Ca 0.5000 0.0000 0.5000  4 Ba 3.77, 4 Lu 3.77
4 Lu 0.5000 0.5000 0.0000  8 Ca 3.77

- SG = P4/mmm, No. 123
- N(E_F) (states/eV/f.u.) = 5.48

=====

Most stable = model 1

=====

Model 1:
The following is a PBE-GGA calculation of a relaxed Ba3CaMg crystal, from the Alexandria database.

Cell: 9.1085 9.1085 9.1085 Å, 90.00 90.00 90.00°
With the nearest neighbours (Å) after each atom.
Element x y z (fractional)
1 Ba 0.0000 0.0000 0.0000  8 Ba 4.30, 6 Ca 4.55
2 Ba 0.2728 0.2728 0.2728  3 Mg 3.84, 3 Ca 4.08, 3 Ba 4.14
3 Ba 0.2728 0.2728 0.7272  3 Mg 3.84, 3 Ca 4.08, 3 Ba 4.14
4 Ba 0.2728 0.7272 0.2728  3 Mg 3.84, 3 Ca 4.08, 3 Ba 4.14
5 Ba 0.2728 0.7272 0.7272  3 Mg 3.84, 3 Ca 4.08, 3 Ba 4.14
6 Ba 0.7272 0.2728 0.2728  3 Mg 3.84, 3 Ca 4.08, 3 Ba 4.14
7 Ba 0.7272 0.2728 0.7272  3 Mg 3.84, 3 Ca 4.08, 3 Ba 4.14
8 Ba 0.7272 0.7272 0.2728  3 Mg 3.84, 3 Ca 4.08, 3 Ba 4.14
9 Ba 0.7272 0.7272 0.7272  3 Mg 3.84, 3 Ca 4.08, 3 Ba 4.14
10 Ca 0.0000 0.0000 0.5000  10 Ba 4.08-4.55, 4 Mg 4.55
11 Ca 0.0000 0.5000 0.0000  10 Ba 4.08-4.55, 4 Mg 4.55
12 Ca 0.5000 0.0000 0.0000  10 Ba 4.08-4.55, 4 Mg 4.55
13 Mg 0.0000 0.5000 0.5000  8 Ba 3.84
14 Mg 0.5000 0.0000 0.5000  8 Ba 3.84
15 Mg 0.5000 0.5000 0.0000  8 Ba 3.84

- SG = Pm-3m, No. 221
- N(E_F) (states/eV/f.u.) = 8.05

=====

Model 2:
The following is a PBE-GGA calculation of a relaxed Ba3CaMg crystal, from the Alexandria database.

Cell: 6.7675 6.7675 6.7675 Å, 90.00 90.00 90.00°
With the nearest neighbours (Å) after each atom.
Element x y z (fractional)
1 Ba 0.0000 0.0000 0.5000  2 Mg 3.38
2 Ba 0.0000 0.5000 0.0000  2 Mg 3.38
3 Ba 0.5000 0.0000 0.0000  2 Mg 3.38
4 Ca 0.5000 0.5000 0.5000  12 Ba 4.79
5 Mg 0.0000 0.0000 0.0000  6 Ba 3.38

- SG = Pm-3m, No. 221
- N(E_F) (states/eV/f.u.) = 12.19

=====

Model 3:
The following is a PBE-GGA calculation of a relaxed Ba3CaMg crystal, from the Alexandria database.

Cell: 12.8060 12.8060 6.3641 Å, 90.00 90.00 151.11°
With the nearest neighbours (Å) after each atom.
Element x y z (fractional)
1 Ba 0.0636 0.9364 0.7500  2 Ca 3.93, 2 Mg 3.98
2 Ba 0.2504 0.7496 0.7500  4 Mg 3.89-3.92, 4 Ca 3.94
3 Ba 0.4346 0.5654 0.7500  2 Ca 3.91, 2 Mg 3.94
4 Ba 0.5654 0.4346 0.2500  2 Ca 3.91, 2 Mg 3.94
5 Ba 0.7496 0.2504 0.2500  4 Mg 3.89-3.92, 4 Ca 3.94
6 Ba 0.9364 0.0636 0.2500  2 Ca 3.93, 2 Mg 3.98
7 Ca 0.1566 0.8434 0.2500  8 Ba 3.91-3.94
8 Ca 0.8434 0.1566 0.7500  8 Ba 3.91-3.94
9 Mg 0.3409 0.6590 0.2500  8 Ba 3.89-3.98
10 Mg 0.6590 0.3409 0.7500  8 Ba 3.89-3.98

- SG = Cmcm, No. 63
- N(E_F) (states/eV/f.u.) = 8.29

=====

Most stable = model 3

=====

Model 1:
The following is a PBE-GGA calculation of a relaxed Ba4CaMg crystal, from the Alexandria database.

Cell: 4.4284 4.4284 16.2551 Å, 90.00 90.00 90.00°
With the nearest neighbours (Å) after each atom.
Element x y z (fractional)
1 Ba 0.0000 0.0000 0.1284  4 Mg 3.76, 1 Ba 4.17
2 Ba 0.0000 0.0000 0.8716  4 Mg 3.76, 1 Ba 4.17
3 Ba 0.5000 0.5000 0.3327  4 Ca 4.15, 8 Ba 4.43-4.56
4 Ba 0.5000 0.5000 0.6673  4 Ca 4.15, 8 Ba 4.43-4.56
5 Ca 0.0000 0.0000 0.5000  8 Ba 4.15, 4 Ca 4.43
6 Mg 0.5000 0.5000 0.0000  8 Ba 3.76

- SG = P4/mmm, No. 123
- N(E_F) (states/eV/f.u.) = 9.54

=====

Model 2:
The following is a PBE-GGA calculation of a relaxed Ba4CaMg crystal, from the Alexandria database.

Cell: 7.7190 7.7190 7.7190 Å, 60.00 60.00 60.00°
With the nearest neighbours (Å) after each atom.
Element x y z (fractional)
1 Ba 0.3756 0.3756 0.3756  6 Ba 3.84-3.88
2 Ba 0.3756 0.3756 0.8733  6 Ba 3.84-3.88
3 Ba 0.3756 0.8733 0.3756  6 Ba 3.84-3.88
4 Ba 0.8733 0.3756 0.3756  6 Ba 3.84-3.88
5 Ca 0.0000 0.0000 0.0000  12 Ba 4.53, 4 Mg 4.73
6 Mg 0.7500 0.7500 0.7500  12 Ba 4.52, 4 Ca 4.73

- SG = F-43m, No. 216
- N(E_F) (states/eV/f.u.) = 12.34

=====

Most stable = model 1

=====

Model 1:
The following is a PBE-GGA calculation of a relaxed BaCaMg2 crystal, from the Alexandria database.

Cell: 13.0433 3.8701 6.1430 Å, 90.00 111.32 90.00°
With the nearest neighbours (Å) after each atom.
Element x y z (fractional)
1 Ba 0.0000 0.0000 0.0000  7 Mg 3.65-3.80, 2 Ba 3.87, 2 Ca 3.93-3.95
2 Ba 0.5000 0.5000 0.0000  7 Mg 3.65-3.80, 2 Ba 3.87, 2 Ca 3.93-3.95
3 Ca 0.2963 0.5000 0.3448  7 Mg 3.61-3.83, 2 Ca 3.87, 2 Ba 3.93-3.95
4 Ca 0.7963 0.0000 0.3448  7 Mg 3.61-3.83, 2 Ca 3.87, 2 Ba 3.93-3.95
5 Mg 0.0468 0.5000 0.5318  2 Mg 3.13
6 Mg 0.2414 0.0000 0.7942  2 Mg 3.13
7 Mg 0.5468 0.0000 0.5318  2 Mg 3.13
8 Mg 0.7414 0.5000 0.7942  2 Mg 3.13

- SG = Cm, No. 8
- N(E_F) (states/eV/f.u.) = 3.26

=====

Model 2:
The following is a PBE-GGA calculation of a relaxed BaCaMg2 crystal, from the Alexandria database.

Cell: 11.3766 3.8223 7.1518 Å, 90.00 100.22 90.00°
With the nearest neighbours (Å) after each atom.
Element x y z (fractional)
1 Ba 0.0000 0.0000 0.0000  2 Ba 3.82, 6 Mg 3.83-3.85, 4 Ca 4.05
2 Ba 0.5000 0.5000 0.0000  2 Ba 3.82, 6 Mg 3.83-3.85, 4 Ca 4.05
3 Ca 0.0000 0.5000 0.5000  6 Mg 3.42-3.46, 2 Ca 3.82
4 Ca 0.5000 0.0000 0.5000  6 Mg 3.42-3.46, 2 Ca 3.82
5 Mg 0.2453 0.0000 0.6914  2 Mg 3.36, 3 Ca 3.42-3.46
6 Mg 0.2547 0.5000 0.3086  2 Mg 3.36, 3 Ca 3.42-3.46
7 Mg 0.7453 0.5000 0.6914  2 Mg 3.36, 3 Ca 3.42-3.46
8 Mg 0.7547 0.0000 0.3086  2 Mg 3.36, 3 Ca 3.42-3.46

- SG = C2/m, No. 12
- N(E_F) (states/eV/f.u.) = 3.88

=====

Most stable = model 1

=====

Model 1:
The following is a PBE-GGA calculation of a relaxed BaCaMg2 crystal, from the Alexandria database.

Cell: 8.0936 8.1304 8.1684 Å, 90.00 90.00 90.00°
With the nearest neighbours (Å) after each atom.
Element x y z (fractional)
1 Ba 0.0000 0.0000 0.0000  4 Ca 3.52, 4 Mg 3.52
2 Ba 0.0000 0.5000 0.5000  4 Ca 3.52, 4 Mg 3.52
3 Ba 0.5000 0.0000 0.5000  4 Ca 3.52, 4 Mg 3.52
4 Ba 0.5000 0.5000 0.0000  4 Ca 3.52, 4 Mg 3.52
5 Ca 0.2500 0.2500 0.7500  4 Ba 3.52, 4 Mg 3.52
6 Ca 0.2500 0.7500 0.2500  4 Ba 3.52, 4 Mg 3.52
7 Ca 0.7500 0.2500 0.2500  4 Ba 3.52, 4 Mg 3.52
8 Ca 0.7500 0.7500 0.7500  4 Ba 3.52, 4 Mg 3.52
9 Mg 0.0000 0.0000 0.5000  4 Mg 3.52, 4 Ca 3.52
10 Mg 0.0000 0.5000 0.0000  4 Mg 3.52, 4 Ca 3.52
11 Mg 0.2500 0.2500 0.2500  4 Ba 3.52, 4 Mg 3.52
12 Mg 0.2500 0.7500 0.7500  4 Ba 3.52, 4 Mg 3.52
13 Mg 0.5000 0.0000 0.0000  4 Mg 3.52, 4 Ca 3.52
14 Mg 0.5000 0.5000 0.5000  4 Mg 3.52, 4 Ca 3.52
15 Mg 0.7500 0.2500 0.7500  4 Ba 3.52, 4 Mg 3.52
16 Mg 0.7500 0.7500 0.2500  4 Ba 3.52, 4 Mg 3.52

- SG = F222, No. 22
- N(E_F) (states/eV/f.u.) = 2.10

=====

Model 2:
The following is a PBE-GGA calculation of a relaxed BaCaMg2 crystal, from the Alexandria database.

Cell: 3.9202 3.9202 33.6218 Å, 90.00 90.00 120.00°
With the nearest neighbours (Å) after each atom.
Element x y z (fractional)
1 Ba 0.0000 0.0000 0.0000  6 Mg 3.73, 6 Ba 3.92
2 Ba 0.3333 0.6667 0.6667  6 Mg 3.73, 6 Ba 3.92
3 Ba 0.6667 0.3333 0.3333  6 Mg 3.73, 6 Ba 3.92
4 Ca 0.0000 0.0000 0.5000  6 Mg 3.48
5 Ca 0.3333 0.6667 0.1667  6 Mg 3.48
6 Ca 0.6667 0.3333 0.8333  6 Mg 3.48
7 Mg 0.0000 0.0000 0.2452  3 Ca 3.48, 3 Ba 3.73
8 Mg 0.0000 0.0000 0.7548  3 Ca 3.48, 3 Ba 3.73
9 Mg 0.3333 0.6667 0.4215  3 Ca 3.48, 3 Ba 3.73
10 Mg 0.3333 0.6667 0.9118  3 Ca 3.48, 3 Ba 3.73
11 Mg 0.6667 0.3333 0.0882  3 Ca 3.48, 3 Ba 3.73
12 Mg 0.6667 0.3333 0.5785  3 Ca 3.48, 3 Ba 3.73

- SG = R-3m, No. 166
- N(E_F) (states/eV/f.u.) = 4.05

=====

Model 3:
The following is a PBE-GGA calculation of a relaxed BaCaMg2 crystal, from the Alexandria database.

Cell: 3.6280 6.2654 13.8529 Å, 90.00 90.00 90.00°
With the nearest neighbours (Å) after each atom.
Element x y z (fractional)
1 Ba 0.0000 0.0000 0.0000  2 Mg 3.62, 4 Ca 3.62, 2 Ba 3.63
2 Ba 0.5000 0.5000 0.5000  2 Mg 3.62, 4 Ca 3.62, 2 Ba 3.63
3 Ca 0.0000 0.0000 0.5000  2 Mg 3.31, 4 Ba 3.62, 2 Ca 3.63
4 Ca 0.5000 0.5000 0.0000  2 Mg 3.31, 4 Ba 3.62, 2 Ca 3.63
5 Mg 0.0000 0.0000 0.2612  1 Ca 3.31, 1 Ba 3.62, 6 Mg 3.63
6 Mg 0.0000 0.0000 0.7388  1 Ca 3.31, 1 Ba 3.62, 6 Mg 3.63
7 Mg 0.5000 0.5000 0.2388  1 Ca 3.31, 1 Ba 3.62, 6 Mg 3.63
8 Mg 0.5000 0.5000 0.7612  1 Ca 3.31, 1 Ba 3.62, 6 Mg 3.63

- SG = Immm, No. 71
- N(E_F) (states/eV/f.u.) = 4.90

=====

Most stable = model 1